DFT (GGA-PBE) results for a geometry-optimized ScTl2CoW structure.

Calculated values
Total moment = 0.3 μB per formula unit
Uncorrected energy = -25.964 eV/cell
Crystal system = tetragonal

Cell and atoms, written as CIF:
```
data_ScTl2CoW
_cell_length_a 5.3055
_cell_length_b 4.4706
_cell_length_c 5.3055
_cell_angle_alpha 90.00
_cell_angle_beta 90.00
_cell_angle_gamma 90.00
_symmetry_space_group_name_H-M 'P 1'
_symmetry_Int_Tables_number 1
_symmetry_space_group_name_Hall 'P 1'
loop_
_atom_site_label
_atom_site_type_symbol
_atom_site_fract_x
_atom_site_fract_y
_atom_site_fract_z
_atom_site_occupancy
Sc1 Sc 0.5000 0.5000 0.5000 1
Tl1 Tl 0.5000 0.0000 0.0000 1
Tl2 Tl 0.0000 0.0000 0.5000 1
W1 W 0.0000 0.0000 0.0000 1
Co1 Co 0.0000 0.5000 0.0000 1
```

DFT (GGA-PBE) results for a geometry-optimized CaDy2Te4 structure.

Calculated values
Total moment = 0.0 μB per formula unit
Formation energy from raw total energies = -1.467 eV per atom
Crystal system = orthorhombic

Cell and atoms, written as CIF:
```
data_CaDy2Te4
_cell_length_a 8.9556
_cell_length_b 8.8114
_cell_length_c 8.8114
_cell_angle_alpha 60.27
_cell_angle_beta 59.46
_cell_angle_gamma 59.46
_symmetry_space_group_name_H-M 'P 1'
_symmetry_Int_Tables_number 1
_symmetry_space_group_name_Hall 'P 1'
loop_
_atom_site_label
_atom_site_type_symbol
_atom_site_fract_x
_atom_site_fract_y
_atom_site_fract_z
_atom_site_occupancy
Te1 Te 0.2535 0.7532 0.7398 1
Te2 Te 0.7465 0.7602 0.7468 1
Te3 Te 0.7545 0.7532 0.2532 1
Te4 Te 0.7465 0.2468 0.2602 1
Te5 Te 0.2535 0.2398 0.2532 1
Te6 Te 0.2391 0.7532 0.2532 1
Te7 Te 0.2455 0.2468 0.7468 1
Te8 Te 0.7609 0.2468 0.7468 1
Dy1 Dy 0.0000 0.0000 0.5000 1
Dy2 Dy 0.0000 0.0000 0.0000 1
Dy3 Dy 0.5000 0.0000 0.5000 1
Dy4 Dy 0.0000 0.5000 0.5000 1
Ca1 Ca 0.5000 0.5000 0.0000 1
Ca2 Ca 0.0000 0.5000 0.0000 1
```

DFT (GGA-PBE) results for a geometry-optimized Cd2SiTc structure.

Calculated values
Total moment = 0.0 μB per formula unit
Formation energy from raw total energies = 0.498 eV per atom
Crystal system = trigonal

Cell and atoms, written as CIF:
```
data_Cd2SiTc
_cell_length_a 10.5138
_cell_length_b 10.5138
_cell_length_c 10.5138
_cell_angle_alpha 15.56
_cell_angle_beta 15.56
_cell_angle_gamma 15.56
_symmetry_space_group_name_H-M 'P 1'
_symmetry_Int_Tables_number 1
_symmetry_space_group_name_Hall 'P 1'
loop_
_atom_site_label
_atom_site_type_symbol
_atom_site_fract_x
_atom_site_fract_y
_atom_site_fract_z
_atom_site_occupancy
Cd1 Cd 0.0047 0.0047 0.0047 1
Cd2 Cd 0.4953 0.4953 0.4953 1
Si1 Si 0.2500 0.2500 0.2500 1
Tc1 Tc 0.7500 0.7500 0.7500 1
```

DFT (GGA-PBE) results for a geometry-optimized PrInGaCu structure.

Calculated values
Total moment = 0.0 μB per formula unit
Uncorrected energy = -15.849 eV/cell
Crystal system = cubic

Cell and atoms, written as CIF:
```
data_PrInGaCu
_cell_length_a 4.9525
_cell_length_b 4.9525
_cell_length_c 4.9525
_cell_angle_alpha 60.00
_cell_angle_beta 60.00
_cell_angle_gamma 60.00
_symmetry_space_group_name_H-M 'P 1'
_symmetry_Int_Tables_number 1
_symmetry_space_group_name_Hall 'P 1'
loop_
_atom_site_label
_atom_site_type_symbol
_atom_site_fract_x
_atom_site_fract_y
_atom_site_fract_z
_atom_site_occupancy
Ga1 Ga 0.7500 0.7500 0.7500 1
Pr1 Pr 0.0000 0.0000 0.0000 1
In1 In 0.5000 0.5000 0.5000 1
Cu1 Cu 0.2500 0.2500 0.2500 1
```

DFT (GGA-PBE) results for a geometry-optimized LiSeO3 structure.

Calculated values
Total moment = 0.0 μB per formula unit
Formation energy from raw total energies = -0.670 eV per atom
Crystal system = cubic

Cell and atoms, written as CIF:
```
data_LiSeO3
_cell_length_a 3.7399
_cell_length_b 3.7399
_cell_length_c 3.7399
_cell_angle_alpha 90.00
_cell_angle_beta 90.00
_cell_angle_gamma 90.00
_symmetry_space_group_name_H-M 'P 1'
_symmetry_Int_Tables_number 1
_symmetry_space_group_name_Hall 'P 1'
loop_
_atom_site_label
_atom_site_type_symbol
_atom_site_fract_x
_atom_site_fract_y
_atom_site_fract_z
_atom_site_occupancy
Li1 Li 0.5000 0.5000 0.5000 1
Se1 Se 0.0000 0.0000 0.0000 1
O1 O 0.5000 0.0000 0.0000 1
O2 O 0.0000 0.0000 0.5000 1
O3 O 0.0000 0.5000 0.0000 1
```

DFT (GGA-PBE) results for a geometry-optimized Rb2TlHgSe4 structure.

Calculated values
Total moment = 1.1 μB per formula unit
Formation energy from raw total energies = -0.432 eV per atom
Crystal system = monoclinic

Cell and atoms, written as CIF:
```
data_Rb2TlHgSe4
_cell_length_a 8.8510
_cell_length_b 8.8510
_cell_length_c 9.7856
_cell_angle_alpha 121.71
_cell_angle_beta 121.71
_cell_angle_gamma 84.37
_symmetry_space_group_name_H-M 'P 1'
_symmetry_Int_Tables_number 1
_symmetry_space_group_name_Hall 'P 1'
loop_
_atom_site_label
_atom_site_type_symbol
_atom_site_fract_x
_atom_site_fract_y
_atom_site_fract_z
_atom_site_occupancy
Se1 Se 0.7866 0.7168 0.9801 1
Se2 Se 0.7864 0.2222 0.9900 1
Se3 Se 0.7222 0.2864 0.4900 1
Se4 Se 0.7832 0.7134 0.5199 1
Se5 Se 0.2133 0.2832 0.0199 1
Se6 Se 0.2136 0.7778 0.0100 1
Se7 Se 0.2168 0.2867 0.4801 1
Se8 Se 0.2778 0.7136 0.5100 1
Hg1 Hg 0.0000 0.5000 0.0000 1
Hg2 Hg 0.0000 0.5000 0.5000 1
Tl1 Tl 0.0000 0.0000 0.0000 1
Tl2 Tl 0.5000 0.5000 0.5000 1
Rb1 Rb 0.0000 0.0000 0.5000 1
Rb2 Rb 0.5000 0.0000 0.0000 1
Rb3 Rb 0.5000 0.0000 0.5000 1
Rb4 Rb 0.5000 0.5000 0.0000 1
```